# 1
## TcPt7 (PBEsol)

Data for TcPt7 after structural relaxation.

abc: 5.5156 5.5156 5.5156
angles: 60.00 60.00 60.00
Closest atoms and distances in Å follow each position.
Fractional positions:
Tc 0.0000 0.0000 0.0000  12 Pt 2.76
Pt 0.0000 0.0000 0.5000  2 Tc 2.76, 10 Pt 2.76
Pt 0.0000 0.5000 0.0000  2 Tc 2.76, 10 Pt 2.76
Pt 0.0000 0.5000 0.5000  2 Tc 2.76, 10 Pt 2.76
Pt 0.5000 0.0000 0.0000  2 Tc 2.76, 10 Pt 2.76
Pt 0.5000 0.0000 0.5000  2 Tc 2.76, 10 Pt 2.76
Pt 0.5000 0.5000 0.0000  2 Tc 2.76, 10 Pt 2.76
Pt 0.5000 0.5000 0.5000  12 Pt 2.76

Calculated values
- DFT total energy (eV/f.u.) = -60.018
- crystal system = cubic
- symmetry = Fm-3m (225)

# 2
## PdSe2Cl (PBEsol)

Data for PdSe2Cl after structural relaxation.

abc: 3.8221 3.8221 22.2507
angles: 90.00 90.00 120.00
Closest atoms and distances in Å follow each position.
Fractional positions:
Pd 0.0000 0.0000 0.0000  6 Se 2.52
Pd 0.3333 0.6667 0.6667  6 Se 2.52
Pd 0.6667 0.3333 0.3333  6 Se 2.52
Se 0.0000 0.0000 0.3880  1 Cl 2.49, 3 Pd 2.52
Se 0.0000 0.0000 0.6120  1 Cl 2.49, 3 Pd 2.52
Se 0.3333 0.6667 0.0547  1 Cl 2.49, 3 Pd 2.52
Se 0.3333 0.6667 0.2787  1 Cl 2.49, 3 Pd 2.52
Se 0.6667 0.3333 0.7213  1 Cl 2.49, 3 Pd 2.52
Se 0.6667 0.3333 0.9453  1 Cl 2.49, 3 Pd 2.52
Cl 0.0000 0.0000 0.5000  2 Se 2.49
Cl 0.3333 0.6667 0.1667  2 Se 2.49
Cl 0.6667 0.3333 0.8333  2 Se 2.49

Calculated values
- formation energy without anion corrections (eV per atom) = -0.284
- crystal system = trigonal
- symmetry = R-3m (166)

# 3
## ZnRe2Pt (PBEsol)

Data for ZnRe2Pt after structural relaxation.

abc: 2.6532 4.1652 5.2072
angles: 90.00 94.42 90.00
Closest atoms and distances in Å follow each position.
Fractional positions:
Zn 0.0000 0.0000 0.0000  2 Pt 2.60, 2 Zn 2.65, 8 Re 2.66-2.89
Re 0.4446 0.5000 0.2415  4 Re 2.55-2.69, 2 Zn 2.66, 4 Pt 2.79-2.83
Re 0.5554 0.5000 0.7585  4 Re 2.55-2.69, 2 Zn 2.66, 4 Pt 2.79-2.83
Pt 0.0000 0.0000 0.5000  2 Zn 2.60, 2 Pt 2.65, 8 Re 2.79-2.83

Calculated values
- DFT total energy (eV/f.u.) = -34.551
- crystal system = monoclinic
- symmetry = P2/m (10)

# 4
## YSc2In (PBEsol)

Data for YSc2In after structural relaxation.

abc: 4.4669 4.4669 9.5311
angles: 90.00 90.00 90.00
Closest atoms and distances in Å follow each position.
Fractional positions:
Y 0.0000 0.0000 0.0000  8 Sc 3.16-3.27, 4 In 3.27
Y 0.5000 0.5000 0.5000  8 Sc 3.16-3.27, 4 In 3.27
Sc 0.0000 0.0000 0.5000  4 Y 3.16, 4 In 3.27, 4 Sc 3.27
Sc 0.0000 0.5000 0.7500  4 In 3.16, 4 Sc 3.27, 4 Y 3.27
Sc 0.5000 0.0000 0.2500  4 In 3.16, 4 Sc 3.27, 4 Y 3.27
Sc 0.5000 0.5000 0.0000  4 Y 3.16, 4 In 3.27, 4 Sc 3.27
In 0.0000 0.5000 0.2500  8 Sc 3.16-3.27, 4 Y 3.27
In 0.5000 0.0000 0.7500  8 Sc 3.16-3.27, 4 Y 3.27

Calculated values
- DFT total energy (eV/f.u.) = -24.102
- crystal system = tetragonal
- symmetry = I-4m2 (119)

# 5
## K3P6N11 (PBEsol)

Data for K3P6N11 after structural relaxation.

abc: 10.4170 10.4170 10.4170
angles: 90.00 90.00 90.00
Closest atoms and distances in Å follow each position.
Fractional positions:
K 0.0025 0.0025 0.0025  6 N 2.74-2.95
K 0.1250 0.6250 0.8750  8 N 3.08-3.28
K 0.2475 0.7525 0.2525  6 N 2.74-2.95
K 0.2525 0.2475 0.7525  6 N 2.74-2.95
K 0.3750 0.3750 0.3750  8 N 3.08-3.28
K 0.4975 0.9975 0.5025  6 N 2.74-2.95
K 0.5025 0.4975 0.9975  6 N 2.74-2.95
K 0.6250 0.8750 0.1250  8 N 3.08-3.28
K 0.7475 0.7475 0.7475  6 N 2.74-2.95
K 0.7525 0.2525 0.2475  6 N 2.74-2.95
K 0.8750 0.1250 0.6250  8 N 3.08-3.28
K 0.9975 0.5025 0.4975  6 N 2.74-2.95
P 0.0330 0.8225 0.5521  4 N 1.59-1.71
P 0.0521 0.4670 0.1775  4 N 1.59-1.71
P 0.0725 0.2170 0.3021  4 N 1.59-1.71
P 0.1775 0.0521 0.4670  4 N 1.59-1.71
P 0.1979 0.9275 0.7170  4 N 1.59-1.71
P 0.2170 0.3021 0.0725  4 N 1.59-1.71
P 0.2830 0.6979 0.5725  4 N 1.59-1.71
P 0.3021 0.0725 0.2170  4 N 1.59-1.71
P 0.3225 0.9479 0.9670  4 N 1.59-1.71
P 0.4275 0.7830 0.8021  4 N 1.59-1.71
P 0.4479 0.5330 0.6775  4 N 1.59-1.71
P 0.4670 0.1775 0.0521  4 N 1.59-1.71
P 0.5330 0.6775 0.4479  4 N 1.59-1.71
P 0.5521 0.0330 0.8225  4 N 1.59-1.71
P 0.5725 0.2830 0.6979  4 N 1.59-1.71
P 0.6775 0.4479 0.5330  4 N 1.59-1.71
P 0.6979 0.5725 0.2830  4 N 1.59-1.71
P 0.7170 0.1979 0.9275  4 N 1.59-1.71
P 0.7830 0.8021 0.4275  4 N 1.59-1.71
P 0.8021 0.4275 0.7830  4 N 1.59-1.71
P 0.8225 0.5521 0.0330  4 N 1.59-1.71
P 0.9275 0.7170 0.1979  4 N 1.59-1.71
P 0.9479 0.9670 0.3225  4 N 1.59-1.71
P 0.9670 0.3225 0.9479  4 N 1.59-1.71
N 0.0139 0.3563 0.2794  2 P 1.59-1.62
N 0.0294 0.6063 0.2361  2 P 1.59-1.62
N 0.0458 0.9542 0.4542  3 P 1.71
N 0.0515 0.8750 0.6985  2 P 1.63
N 0.1063 0.2639 0.9706  2 P 1.59-1.62
N 0.1250 0.1985 0.4485  2 P 1.63
N 0.1437 0.7206 0.5139  2 P 1.59-1.62
N 0.1985 0.4485 0.1250  2 P 1.63
N 0.2042 0.2042 0.2042  3 P 1.71
N 0.2206 0.9861 0.8563  2 P 1.59-1.62
N 0.2361 0.0294 0.6063  2 P 1.59-1.62
N 0.2639 0.9706 0.1063  2 P 1.59-1.62
N 0.2794 0.0139 0.3563  2 P 1.59-1.62
N 0.2958 0.7958 0.7042  3 P 1.71
N 0.3015 0.5515 0.6250  2 P 1.63
N 0.3563 0.2794 0.0139  2 P 1.59-1.62
N 0.3750 0.8015 0.9485  2 P 1.63
N 0.3937 0.7361 0.4706  2 P 1.59-1.62
N 0.4485 0.1250 0.1985  2 P 1.63
N 0.4542 0.0458 0.9542  3 P 1.71
N 0.4706 0.3937 0.7361  2 P 1.59-1.62
N 0.4861 0.6437 0.7794  2 P 1.59-1.62
N 0.5139 0.1437 0.7206  2 P 1.59-1.62
N 0.5294 0.8937 0.7639  2 P 1.59-1.62
N 0.5458 0.5458 0.5458  3 P 1.71
N 0.5515 0.6250 0.3015  2 P 1.63
N 0.6063 0.2361 0.0294  2 P 1.59-1.62
N 0.6250 0.3015 0.5515  2 P 1.63
N 0.6437 0.7794 0.4861  2 P 1.59-1.62
N 0.6985 0.0515 0.8750  2 P 1.63
N 0.7042 0.2958 0.7958  3 P 1.71
N 0.7206 0.5139 0.1437  2 P 1.59-1.62
N 0.7361 0.4706 0.3937  2 P 1.59-1.62
N 0.7639 0.5294 0.8937  2 P 1.59-1.62
N 0.7794 0.4861 0.6437  2 P 1.59-1.62
N 0.7958 0.7042 0.2958  3 P 1.71
N 0.8015 0.9485 0.3750  2 P 1.63
N 0.8563 0.2206 0.9861  2 P 1.59-1.62
N 0.8750 0.6985 0.0515  2 P 1.63
N 0.8937 0.7639 0.5294  2 P 1.59-1.62
N 0.9485 0.3750 0.8015  2 P 1.63
N 0.9542 0.4542 0.0458  3 P 1.71
N 0.9706 0.1063 0.2639  2 P 1.59-1.62
N 0.9861 0.8563 0.2206  2 P 1.59-1.62

Calculated values
- formation energy without anion corrections (eV per atom) = -0.761
- crystal system = cubic
- symmetry = P4_132 (213)

# 6
## Dy4Ga12Fe (PBEsol)

Data for Dy4Ga12Fe after structural relaxation.

abc: 7.3014 7.3014 7.3014
angles: 109.47 109.47 109.47
Closest atoms and distances in Å follow each position.
Fractional positions:
Dy 0.0000 0.0000 0.5000  12 Ga 2.98-2.99
Dy 0.0000 0.5000 0.0000  12 Ga 2.98-2.99
Dy 0.5000 0.0000 0.0000  12 Ga 2.98-2.99
Dy 0.5000 0.5000 0.5000  12 Ga 2.98-2.99
Ga 0.0000 0.2843 0.2843  1 Fe 2.40
Ga 0.0000 0.7157 0.7157  1 Fe 2.40
Ga 0.2500 0.5000 0.7500  8 Ga 2.78-2.98, 4 Dy 2.98
Ga 0.2500 0.7500 0.5000  8 Ga 2.78-2.98, 4 Dy 2.98
Ga 0.2843 0.0000 0.2843  1 Fe 2.40
Ga 0.2843 0.2843 0.0000  1 Fe 2.40
Ga 0.5000 0.2500 0.7500  8 Ga 2.78-2.98, 4 Dy 2.98
Ga 0.5000 0.7500 0.2500  8 Ga 2.78-2.98, 4 Dy 2.98
Ga 0.7157 0.0000 0.7157  1 Fe 2.40
Ga 0.7157 0.7157 0.0000  1 Fe 2.40
Ga 0.7500 0.2500 0.5000  8 Ga 2.78-2.98, 4 Dy 2.98
Ga 0.7500 0.5000 0.2500  8 Ga 2.78-2.98, 4 Dy 2.98
Fe 0.0000 0.0000 0.0000  6 Ga 2.40

Calculated values
- DFT total energy (eV/f.u.) = -79.019
- crystal system = cubic
- symmetry = Im-3m (229)

# 7
## Si2PCl (PBEsol)

Data for Si2PCl after structural relaxation.

abc: 5.1479 7.8710 3.4276
angles: 90.00 90.00 90.00
Closest atoms and distances in Å follow each position.
Fractional positions:
Si 0.0000 0.2110 0.0000  2 P 2.39, 2 Si 2.65
Si 0.0000 0.7890 0.0000  2 P 2.39, 2 Si 2.65
Si 0.5000 0.2890 0.0000  2 P 2.39, 2 Si 2.65
Si 0.5000 0.7110 0.0000  2 P 2.39, 2 Si 2.65
P 0.0000 0.0000 0.5000  4 Si 2.39, 2 Cl 2.57
P 0.5000 0.5000 0.5000  4 Si 2.39, 2 Cl 2.57
Cl 0.0000 0.5000 0.5000  2 P 2.57, 4 Si 2.85
Cl 0.5000 0.0000 0.5000  2 P 2.57, 4 Si 2.85

Calculated values
- formation energy without anion corrections (eV per atom) = 0.167
- crystal system = orthorhombic
- symmetry = Cmmm (65)

# 8
## YPt3 (PBEsol)

Data for YPt3 after structural relaxation.

abc: 4.0593 4.0593 4.0593
angles: 90.00 90.00 90.00
Closest atoms and distances in Å follow each position.
Fractional positions:
Y 0.0000 0.0000 0.0000  12 Pt 2.87
Pt 0.0000 0.5000 0.5000  8 Pt 2.87, 4 Y 2.87
Pt 0.5000 0.0000 0.5000  8 Pt 2.87, 4 Y 2.87
Pt 0.5000 0.5000 0.0000  8 Pt 2.87, 4 Y 2.87

Calculated values
- DFT total energy (eV/f.u.) = -31.681
- crystal system = cubic
- symmetry = Pm-3m (221)